{"formula": "CsRb2Au", "functional": "GGA-PBEsol", "state": "optimized geometry", "magmom_total_mub_per_fu": 0.00, "e_form_ev_per_atom": -0.0337, "dft_energy_ev_per_atom": -1.76, "cell": [[11.9195, 0.0000, 0.0000], [0.0000, 11.9195, 0.0000], [0.0000, 0.0000, 7.0392]], "species": ["Cs", "Cs", "Cs", "Cs", "Rb", "Rb", "Rb", "Rb", "Rb", "Rb", "Rb", "Rb", "Au", "Au", "Au", "Au"], "fractional_positions": [[0.0000, 0.0000, 0.0000], [0.0000, 0.5000, 0.2500], [0.5000, 0.0000, 0.7500], [0.5000, 0.5000, 0.5000], [0.1227, 0.7500, 0.6250], [0.2500, 0.1227, 0.3750], [0.2500, 0.3773, 0.8750], [0.3773, 0.7500, 0.1250], [0.6227, 0.2500, 0.1250], [0.7500, 0.6227, 0.8750], [0.7500, 0.8773, 0.3750], [0.8773, 0.2500, 0.6250], [0.0000, 0.0000, 0.5000], [0.0000, 0.5000, 0.7500], [0.5000, 0.0000, 0.2500], [0.5000, 0.5000, 0.0000]]}